Below is an optimized crystal structure of Li2NbBiS, with properties calculated at the PBE-GGA level.

abc: 5.184 5.446 5.184
angles: 90.00 90.00 90.00
Site moments in Bohr magnetons follow the coordinates.
Element x y z (fractional)
Li (0.000, 0.000, 0.500)  0.10
Nb (0.000, 0.000, 0.000)  2.70
S (0.500, 0.500, 0.500)  0.24
Li (0.500, 0.000, 0.000)  0.13
Bi (0.000, 0.500, 0.000)  -0.11

Results
- Formation energy from raw total energies: 962 meV per atom